Entry 1:
4
Lattice="0.000 3.112 3.112 3.112 0.000 3.112 3.112 3.112 0.000" Properties=species:S:1:pos:R:3 comment="PBE NaHfF2, optimized geometry" formation_energy_uncorrected_ev_per_atom=-1.0702 n_ef_per_ev_cell=1.15 crystal_system=cubic magnetic_moment_mub_per_atom=0.612 pbc="T T T"
Na 0.000 0.000 0.000
Hf 3.112 3.112 3.112
F 1.556 1.556 1.556
F 4.669 4.669 4.669

=====

Entry 2:
4
Lattice="2.337 1.350 8.294 -2.337 1.350 8.294 0.000 -2.699 8.294" Properties=species:S:1:pos:R:3 comment="PBE AlAgBr2, optimized geometry" formation_energy_uncorrected_ev_per_atom=-0.1552 n_ef_per_ev_cell=0.00 crystal_system=trigonal magnetic_moment_mub_per_atom=0.000 pbc="T T T"
Al 0.000 0.000 0.000
Ag 0.000 0.000 12.441
Br 0.000 0.000 9.956
Br 0.000 0.000 14.927

=====

Entry 3:
4
Lattice="0.000 3.416 3.416 3.416 0.000 3.416 3.416 3.416 0.000" Properties=species:S:1:pos:R:3 comment="PBE KLi2Ir, optimized geometry" delta_e_f_ev_per_atom=0.587 n_ef_per_ev_cell=2.29 crystal_system=cubic magnetic_moment_mub_per_atom=0.024 pbc="T T T"
K 0.000 0.000 0.000
Li 1.708 1.708 1.708
Li 3.416 3.416 3.416
Ir 5.124 5.124 5.124

=====

Entry 4:
5
Lattice="5.374 0.000 0.000 0.000 5.374 0.000 0.000 0.000 9.647" Properties=species:S:1:pos:R:3 comment="PBE CaAsBr2Cl, optimized geometry" formation_energy_uncorrected_ev_per_atom=-0.3679 n_ef_per_ev_cell=3.11 crystal_system=tetragonal magnetic_moment_mub_per_atom=0.420 pbc="T T T"
Ca 0.000 0.000 0.000
As 0.000 0.000 4.824
Br 0.000 2.687 0.000
Br 2.687 0.000 0.000
Cl 2.687 2.687 4.824

=====

What did the first record say?
4
Lattice="0.000 3.112 3.112 3.112 0.000 3.112 3.112 3.112 0.000" Properties=species:S:1:pos:R:3 comment="PBE NaHfF2, optimized geometry" formation_energy_uncorrected_ev_per_atom=-1.0702 n_ef_per_ev_cell=1.15 crystal_system=cubic magnetic_moment_mub_per_atom=0.612 pbc="T T T"
Na 0.000 0.000 0.000
Hf 3.112 3.112 3.112
F 1.556 1.556 1.556
F 4.669 4.669 4.669